No. 1
InHgNO | PBE-GGA | optimized geometry

Calculated values
ΔE to the lowest computed polymorph ... 526 meV/atom

abc: 4.0529 4.0529 7.3208
angles: 90.00 90.00 90.00
Space group P4/nmm (No. 129, origin choice 2)
Symmetry-distinct sites (fractional):
In  0.2500  0.2500  0.1215 [2 per cell]
Hg  0.2500  0.7500  0.5000 [2 per cell]
N  0.2500  0.2500  0.6954 [2 per cell]
O  0.2500  0.7500  0.0000 [2 per cell]

No. 2
InHgNO | PBE-GGA | optimized geometry

Calculated values
ΔE to the lowest computed polymorph ... 525 meV/atom

abc: 4.0712 4.0712 7.1347
angles: 90.00 90.00 90.00
Space group P4/nmm (No. 129, origin choice 2)
Symmetry-distinct sites (fractional):
In  0.2500  0.2500  0.1135 [2 per cell]
Hg  0.2500  0.7500  0.5000 [2 per cell]
N  0.2500  0.2500  0.6960 [2 per cell]
O  0.2500  0.7500  0.0000 [2 per cell]

No. 3
InHgNO | PBE-GGA | optimized geometry

Calculated values
ΔE to the lowest computed polymorph ... 223 meV/atom

abc: 4.8414 4.8414 4.6749
angles: 90.00 90.00 90.00
Space group P4/nmm (No. 129, origin choice 2)
Symmetry-distinct sites (fractional):
In  0.2500  0.7500  0.0000 [2 per cell]
Hg  0.2500  0.2500  0.4977 [2 per cell]
N  0.2500  0.2500  0.9977 [2 per cell]
O  0.2500  0.7500  0.5000 [2 per cell]

No. 4
InHgNO | PBE-GGA | optimized geometry

Calculated values
ΔE to the lowest computed polymorph ... 0 meV/atom

abc: 3.6231 6.3299 5.9664
angles: 90.00 90.00 90.00
Space group Pmc2_1 (No. 26)
Symmetry-distinct sites (fractional):
In  0.0000  0.1556  0.0000 [2 per cell]
Hg  0.5000  0.3713  0.5265 [2 per cell]
N  0.5000  0.3010  0.8886 [2 per cell]
O  0.0000  0.1508  0.3554 [2 per cell]

No. 5
Tm4InHgN2 | PBE-GGA | optimized geometry

Calculated values
Spin magnetization ... 0.00 μB/atom
Total DFT energy (no corrections) ... -5.7565 eV/atom

abc: 3.4624 3.4624 15.3077
angles: 90.00 90.00 120.00
Space group P-6m2 (No. 187)
Symmetry-distinct sites (fractional):
Tm  0.0000  0.0000  0.1588 [2 per cell]
Tm  0.3333  0.6667  0.3308 [2 per cell]
In  0.0000  0.0000  0.5000 [1 per cell]
Hg  0.3333  0.6667  0.0000 [1 per cell]
N  0.6667  0.3333  0.2480 [2 per cell]

No. 6
Zr4InHgN2 | PBE-GGA | optimized geometry

Calculated values
Spin magnetization ... 0.00 μB/atom
Total DFT energy (no corrections) ... -7.7721 eV/atom

abc: 3.3274 3.3274 14.7005
angles: 90.00 90.00 120.00
Space group P-6m2 (No. 187)
Symmetry-distinct sites (fractional):
Zr  0.0000  0.0000  0.1647 [2 per cell]
Zr  0.6667  0.3333  0.3319 [2 per cell]
In  0.0000  0.0000  0.5000 [1 per cell]
Hg  0.6667  0.3333  0.0000 [1 per cell]
N  0.3333  0.6667  0.2471 [2 per cell]

> Which formula does entry 6 have?

Zr4InHgN2